The following is a GGA-PBE calculation of AlFe2Si after structural relaxation, from Alexandria.

The volume comes out at 12.056 Å³ per atom. Its uncorrected formation energy is -0.18 eV per atom. The density of states at the Fermi level comes out at 0.997 states/eV/atom. The calculation puts the density at 5742 kg/m3.

Lattice parameters (Å, degrees): 7.8894 2.7031 4.6158 90.00 101.54 90.00
Closest atoms and distances in Å follow each position.
Space group C2/m (No. 12)
One atom of each set of equivalent atoms:
1 Al 0.0000 0.0000 0.0000 [2 per cell]  6 Fe 2.47-2.53, 4 Si 2.67, 2 Al 2.70
2 Fe 0.2443 0.0000 0.7378 [4 per cell]  3 Si 2.43-2.48, 3 Al 2.47-2.53, 4 Fe 2.59-2.70
3 Si 0.0000 0.5000 0.5000 [2 per cell]  6 Fe 2.43-2.48, 4 Al 2.67, 2 Si 2.70